A relaxed Sr2AgSN crystal. Source: Alexandria via LeMat-Bulk, functional GGA-PBE.

Properties
Space-group type = P4/mmm
Crystal system = tetragonal
E_form (uncorrected) = 0.53 eV/atom
Total magnetic moment = 0.79 Bohr magnetons per cell
Total DFT energy (no corrections) = -16.0 eV/cell
Offset from the most stable computed form = 760 meV/atom
N(E_F) = 5.57 states/eV per cell

Cell and atoms, written as POSCAR:
```
Sr2AgSN
1.0
5.9108 0.0000 0.0000
0.0000 5.9108 0.0000
0.0000 0.0000 4.5384
Sr Ag S N
2 1 1 1
Cartesian
0.0000 2.9554 0.0000
2.9554 0.0000 0.0000
0.0000 0.0000 0.0000
0.0000 0.0000 2.2692
2.9554 2.9554 2.2692
```

A relaxed TaAgSN2 crystal. Source: Alexandria via LeMat-Bulk, functional GGA-PBE.

Properties
Space-group type = P4/mmm
Crystal system = tetragonal
E_form (uncorrected) = 0.24 eV/atom
Total magnetic moment = 0.00 Bohr magnetons per cell
Total DFT energy (no corrections) = -34.3 eV/cell
Offset from the most stable computed form = 0 meV/atom
N(E_F) = 4.87 states/eV per cell

Cell and atoms, written as POSCAR:
```
TaAgSN2
1.0
3.9766 0.0000 0.0000
0.0000 3.9766 0.0000
0.0000 0.0000 5.2386
Ta Ag S N
1 1 1 2
Cartesian
0.0000 0.0000 0.0000
1.9883 1.9883 2.6193
0.0000 0.0000 2.6193
0.0000 1.9883 0.0000
1.9883 0.0000 0.0000
```